A PBEsol-optimized structure of MnMo2W, computed with SCAN.

Cell and atoms, written as CIF:
```
data_MnMo2W
_chemical_formula_sum 'Mn4 Mo8 W4'
_symmetry_space_group_name_H-M 'F -4 3 m'
_symmetry_Int_Tables_number 216
_symmetry_space_group_name_Hall 'F -4 2 3'
_cell_length_a 6.101
_cell_length_b 6.101
_cell_length_c 6.101
_cell_angle_alpha 90.00
_cell_angle_beta 90.00
_cell_angle_gamma 90.00
loop_
_atom_site_label
_atom_site_fract_x
_atom_site_fract_y
_atom_site_fract_z
Mn1 0.000 0.000 0.000
Mo1 0.000 0.000 0.500
Mo2 0.250 0.250 0.250
W1 0.250 0.250 0.750
```

Properties
- total energy (eV/atom) = -39.288
- spin magnetization (μB per formula unit) = 0.00
- mass density (g cm⁻³) = 12.60
- calculated formation energy (eV per atom) = 0.140

A PBEsol-optimized structure of TlIrSe, computed with SCAN.

Cell and atoms, written as CIF:
```
data_TlIrSe
_chemical_formula_sum 'Tl2 Ir2 Se2'
_symmetry_space_group_name_H-M 'I m m 2'
_symmetry_Int_Tables_number 44
_cell_length_a 2.981
_cell_length_b 3.470
_cell_length_c 12.631
_cell_angle_alpha 90.00
_cell_angle_beta 90.00
_cell_angle_gamma 90.00
loop_
_symmetry_equiv_pos_as_xyz
'x,y,z'
'-x,-y,z'
'-x,y,z'
'x,-y,z'
'x+1/2,y+1/2,z+1/2'
'-x+1/2,-y+1/2,z+1/2'
'-x+1/2,y+1/2,z+1/2'
'x+1/2,-y+1/2,z+1/2'
loop_
_atom_site_label
_atom_site_fract_x
_atom_site_fract_y
_atom_site_fract_z
Tl1 0.000 0.000 0.000
Ir1 0.000 0.000 0.318
Se1 0.000 0.000 0.739
```

Properties
- raw formation energy (eV per atom) = 0.23
- total energy (eV/atom) = -54.281
- spin magnetization (μB per formula unit) = 0.00
- mass density (g cm⁻³) = 12.09

A PBEsol-optimized structure of Zr2SbIrOs, computed with SCAN.

Cell and atoms, written as CIF:
```
data_Zr2SbIrOs
_chemical_formula_sum 'Zr2 Sb1 Ir1 Os1'
_symmetry_space_group_name_H-M 'P 4/m m m'
_symmetry_Int_Tables_number 123
_symmetry_space_group_name_Hall '-P 4 2'
_cell_length_a 4.911
_cell_length_b 4.911
_cell_length_c 4.822
_cell_angle_alpha 90.00
_cell_angle_beta 90.00
_cell_angle_gamma 90.00
loop_
_atom_site_label
_atom_site_fract_x
_atom_site_fract_y
_atom_site_fract_z
Zr1 0.000 0.500 0.000
Sb1 0.000 0.000 0.500
Ir1 0.500 0.500 0.500
Os1 0.000 0.000 0.000
```

Properties
- raw formation energy (eV per atom) = 0.62
- total energy (eV/atom) = -47.709
- spin magnetization (μB per formula unit) = 0.00
- mass density (g cm⁻³) = 9.80